Entry 1:
{
  "formula": "Ba2NiPI",
  "functional": "PBE",
  "state": "optimized geometry",
  "cell": [[6.295, 0.000, 0.000], [0.000, 6.295, 0.000], [0.000, 0.000, 4.219]],
  "species": ["Ba", "Ba", "Ni", "P", "I"],
  "frac_coords": [[0.000, 0.500, 0.000], [0.500, 0.000, 0.000], [0.000, 0.000, 0.500], [0.000, 0.000, 0.000], [0.500, 0.500, 0.500]],
  "e_form_raw_mev_per_atom": -925,
  "sg": "P4/mmm, No. 123",
  "vol_a3_per_atom": 33.43,
  "total_magnetization_mub_per_atom": 0.000,
  "total_energy_ev_per_fu": -21.21
}

Entry 2:
{
  "formula": "Ba2NiPbI",
  "functional": "PBE",
  "state": "optimized geometry",
  "cell": [[6.659, 0.000, 0.000], [0.000, 6.659, 0.000], [0.000, 0.000, 4.631]],
  "species": ["Ba", "Ba", "Ni", "Pb", "I"],
  "frac_coords": [[0.000, 0.500, 0.000], [0.500, 0.000, 0.000], [0.000, 0.000, 0.500], [0.500, 0.500, 0.500], [0.000, 0.000, 0.000]],
  "e_form_raw_mev_per_atom": -206,
  "sg": "P4/mmm, No. 123",
  "vol_a3_per_atom": 41.08,
  "total_magnetization_mub_per_atom": 0.000,
  "total_energy_ev_per_fu": -15.91
}

Please write out number 2 again, unchanged.
{
  "formula": "Ba2NiPbI",
  "functional": "PBE",
  "state": "optimized geometry",
  "cell": [[6.659, 0.000, 0.000], [0.000, 6.659, 0.000], [0.000, 0.000, 4.631]],
  "species": ["Ba", "Ba", "Ni", "Pb", "I"],
  "frac_coords": [[0.000, 0.500, 0.000], [0.500, 0.000, 0.000], [0.000, 0.000, 0.500], [0.500, 0.500, 0.500], [0.000, 0.000, 0.000]],
  "e_form_raw_mev_per_atom": -206,
  "sg": "P4/mmm, No. 123",
  "vol_a3_per_atom": 41.08,
  "total_magnetization_mub_per_atom": 0.000,
  "total_energy_ev_per_fu": -15.91
}